# Li2TlNiF8, optimized geometry, DFT PBE+U
# mass density	4.7	Mg/m³
# DFT total energy	-4.028	eV/atom
# DOS at the Fermi energy	0.251	states/eV/atom
# spin magnetization	1.2	μB per formula unit
data_Li2TlNiF8
_chemical_formula_sum 'Li4 Tl2 Ni2 F16'
_cell_length_a 6.536
_cell_length_b 6.536
_cell_length_c 7.167
_cell_angle_alpha 90.00
_cell_angle_beta 90.00
_cell_angle_gamma 90.00
_symmetry_space_group_name_H-M 'I -4 m 2'
_symmetry_Int_Tables_number 119
_symmetry_space_group_name_Hall 'I -4 -2'
loop_
_atom_site_label
_atom_site_type_symbol
_atom_site_fract_x
_atom_site_fract_y
_atom_site_fract_z
Li1 Li 0.000 0.000 0.000
Li2 Li 0.000 0.500 0.250
Tl1 Tl 0.000 0.500 0.750
Ni1 Ni 0.000 0.000 0.500
F1 F 0.000 0.182 0.805
F2 F 0.000 0.286 0.456